No. 1
Here is crystalline K2ZnTc at its relaxed geometry from Alexandria via LeMat-Bulk. Energies are from GGA-PBE.

Cell and atoms, written as POSCAR:
```
K2ZnTc
1.0
-5.0620 -3.8183 -0.7817
5.6565 -0.7492 -2.8735
0.8789 -1.6212 2.1252
K Tc Zn
2 1 1
Direct
0.0000 0.0000 0.0000 K
0.5000 0.5000 0.0000 K
0.5000 0.0000 0.5000 Tc
0.0000 0.5000 0.5000 Zn
```

Properties
Symmetry   C2/m (12)
Energy of formation   1.094 eV/atom
Density of states at the Fermi level   3.48 states/eV per cell
Calculated density   4.275 Mg/m³



No. 2
Here is crystalline CdIN2 at its relaxed geometry from Alexandria via LeMat-Bulk. Energies are from GGA-PBE.

Cell and atoms, written as POSCAR:
```
CdIN2
1.0
4.8943 0.0000 0.0000
0.0000 4.8943 0.0000
2.4471 2.4471 5.9655
I N Cd
2 4 2
Direct
0.0000 0.0000 0.0000 I
0.7500 0.2500 0.5000 I
0.6482 0.1250 0.2500 N
0.1018 0.6250 0.2500 N
0.3750 0.3518 0.7500 N
0.8750 0.8982 0.7500 N
0.5000 0.5000 0.0000 Cd
0.2500 0.7500 0.5000 Cd
```

Properties
Symmetry   I-42d (122)
Formation energy (no corrections)   132.06 kJ per mole of atoms
Distance to the lowest polymorph of the same formula   71 meV/atom
Density of states at the Fermi level   1.28 states/eV per cell
Calculated density   6.213 Mg/m³



No. 3
Here is crystalline Cs3ZnC at its relaxed geometry from Alexandria via LeMat-Bulk. Energies are from GGA-PBE.

Cell and atoms, written as POSCAR:
```
Cs3ZnC
1.0
-3.6228 1.4025 5.1819
-4.7922 -3.6624 -2.3591
2.4195 -5.1539 3.0865
Cs Zn C
3 1 1
Direct
0.0000 0.5000 0.0000 Cs
0.0000 0.0000 0.5000 Cs
0.5000 0.0000 0.0000 Cs
0.5000 0.5000 0.5000 Zn
0.0000 0.0000 0.0000 C
```

Properties
Symmetry   Pm-3m (221)
Distance to the lowest polymorph of the same formula   0 meV/atom
Energy of formation   0.967 eV/atom
Density of states at the Fermi level   3.32 states/eV per cell
Calculated density   2.911 Mg/m³



No. 4
Here is crystalline RbLiU2S5 at its relaxed geometry from Alexandria via LeMat-Bulk. Energies are from GGA-PBE.

Cell and atoms, written as POSCAR:
```
RbLiU2S5
1.0
7.5724 0.0000 0.0000
0.0000 7.5724 0.0000
-3.7862 -3.7862 7.1539
Rb Li U S
2 2 4 10
Direct
0.2500 0.2500 0.5000 Rb
0.7500 0.7500 0.5000 Rb
0.2500 0.7500 0.5000 Li
0.7500 0.2500 0.5000 Li
0.1633 0.3367 0.0000 U
0.6633 0.1633 0.0000 U
0.3367 0.8367 0.0000 U
0.8367 0.6633 0.0000 U
0.9757 0.4757 0.2395 S
0.7362 0.2362 0.7605 S
0.0243 0.5243 0.7605 S
0.2362 0.0243 0.7605 S
0.5243 0.7362 0.7605 S
0.7638 0.9757 0.2395 S
0.4757 0.2638 0.2395 S
0.2638 0.7638 0.2395 S
0.5000 0.5000 0.0000 S
0.0000 0.0000 0.0000 S
```

Properties
Symmetry   I4/mcm (140)
Formation energy (no corrections)   -135.96 kJ per mole of atoms
Density of states at the Fermi level   15.51 states/eV per cell
Calculated density   5.900 Mg/m³



No. 5
Here is crystalline Be2NbIr at its relaxed geometry from Alexandria via LeMat-Bulk. Energies are from GGA-PBE.

Cell and atoms, written as POSCAR:
```
Be2NbIr
1.0
2.8452 0.0000 0.0000
0.0000 2.8452 0.0000
0.0000 0.0000 6.0802
Be Nb Ir
2 1 1
Direct
0.0000 0.0000 0.7987 Be
0.0000 0.0000 0.2013 Be
0.5000 0.5000 0.5000 Nb
0.5000 0.5000 0.0000 Ir
```

Properties
Symmetry   P4/mmm (123)
Energy of formation   -0.371 eV/atom
Density of states at the Fermi level   2.36 states/eV per cell
Calculated density   10.227 Mg/m³



No. 6
Here is crystalline EuGdGe2 at its relaxed geometry from Alexandria via LeMat-Bulk. Energies are from GGA-PBE.

Cell and atoms, written as POSCAR:
```
EuGdGe2
1.0
-1.4774 3.0167 -2.3719
-4.4961 -1.5983 0.7676
-0.3588 2.8692 3.8727
Eu Ge Gd
1 2 1
Direct
0.5000 0.5000 0.5000 Eu
0.0000 0.0000 0.5000 Ge
0.0000 0.5000 0.0000 Ge
0.5000 0.0000 0.0000 Gd
```

Properties
Symmetry   P4/mmm (123)
Energy of formation   -0.602 eV/atom
Density of states at the Fermi level   2.21 states/eV per cell
Calculated density   7.857 Mg/m³



No. 7
Here is crystalline LaNdPt at its relaxed geometry from Alexandria via LeMat-Bulk. Energies are from GGA-PBE.

Cell and atoms, written as POSCAR:
```
LaNdPt
1.0
-4.7528 -0.4981 -1.6872
-3.7701 -0.8831 3.2696
-3.4211 3.6139 0.9590
Nd Pt La
1 1 1
Direct
0.5000 0.5000 0.5000 Nd
0.2500 0.2500 0.2500 Pt
0.0000 0.0000 0.0000 La
```

Properties
Symmetry   F-43m (216)
Distance to the lowest polymorph of the same formula   95 meV/atom
Energy of formation   -0.705 eV/atom
Density of states at the Fermi level   4.55 states/eV per cell
Calculated density   8.628 Mg/m³



No. 8
Here is crystalline ZrVS2 at its relaxed geometry from Alexandria via LeMat-Bulk. Energies are from GGA-PBE.

Cell and atoms, written as POSCAR:
```
ZrVS2
1.0
5.5658 0.0000 0.0000
0.0000 5.5658 0.0000
2.7829 2.7829 5.5421
S Zr V
4 2 2
Direct
0.5972 0.1250 0.2500 S
0.1528 0.6250 0.2500 S
0.3750 0.4028 0.7500 S
0.8750 0.8472 0.7500 S
0.0000 0.0000 0.0000 Zr
0.7500 0.2500 0.5000 Zr
0.5000 0.5000 0.0000 V
0.2500 0.7500 0.5000 V
```

Properties
Symmetry   I-42d (122)
Formation energy (no corrections)   -75.17 kJ per mole of atoms
Distance to the lowest polymorph of the same formula   250 meV/atom
Density of states at the Fermi level   6.89 states/eV per cell
Calculated density   3.991 Mg/m³